Crystalline NdMo6S8 at its relaxed geometry. Source: Alexandria via LeMat-Bulk, functional GGA-PBEsol.

Structure (CIF):
```
data_NdMo6S8
_cell_length_a 6.427
_cell_length_b 6.427
_cell_length_c 6.427
_cell_angle_alpha 88.53
_cell_angle_beta 88.53
_cell_angle_gamma 88.53
_symmetry_space_group_name_H-M 'P 1'
_symmetry_Int_Tables_number 1
_symmetry_space_group_name_Hall 'P 1'
loop_
_atom_site_label
_atom_site_type_symbol
_atom_site_fract_x
_atom_site_fract_y
_atom_site_fract_z
_atom_site_occupancy
Nd1 Nd 0.000 0.000 0.000 1
Mo1 Mo 0.223 0.420 0.563 1
Mo2 Mo 0.420 0.563 0.223 1
Mo3 Mo 0.437 0.777 0.580 1
Mo4 Mo 0.563 0.223 0.420 1
Mo5 Mo 0.580 0.437 0.777 1
Mo6 Mo 0.777 0.580 0.437 1
S1 S 0.126 0.753 0.376 1
S2 S 0.243 0.243 0.243 1
S3 S 0.247 0.624 0.874 1
S4 S 0.376 0.126 0.753 1
S5 S 0.624 0.874 0.247 1
S6 S 0.753 0.376 0.126 1
S7 S 0.757 0.757 0.757 1
S8 S 0.874 0.247 0.624 1
```

E_form (uncorrected): -1.0105 eV per atom
total magnetization: 0.0000 μB/atom

***

Crystalline Te4P2O13 at its relaxed geometry. Source: Alexandria via LeMat-Bulk, functional GGA-PBEsol.

Structure (CIF):
```
data_Te4P2O13
_cell_length_a 11.225
_cell_length_b 4.646
_cell_length_c 22.416
_cell_angle_alpha 90.00
_cell_angle_beta 116.94
_cell_angle_gamma 90.00
_symmetry_space_group_name_H-M 'P 1'
_symmetry_Int_Tables_number 1
_symmetry_space_group_name_Hall 'P 1'
loop_
_atom_site_label
_atom_site_type_symbol
_atom_site_fract_x
_atom_site_fract_y
_atom_site_fract_z
_atom_site_occupancy
Te1 Te 0.009 0.194 0.311 1
Te2 Te 0.009 0.306 0.811 1
Te3 Te 0.182 0.241 0.060 1
Te4 Te 0.182 0.259 0.560 1
Te5 Te 0.348 0.202 0.426 1
Te6 Te 0.348 0.298 0.926 1
Te7 Te 0.478 0.699 0.350 1
Te8 Te 0.478 0.801 0.850 1
Te9 Te 0.522 0.199 0.150 1
Te10 Te 0.522 0.301 0.650 1
Te11 Te 0.652 0.702 0.074 1
Te12 Te 0.652 0.798 0.574 1
Te13 Te 0.818 0.741 0.440 1
Te14 Te 0.818 0.759 0.940 1
Te15 Te 0.991 0.694 0.189 1
Te16 Te 0.991 0.806 0.689 1
P1 P 0.133 0.742 0.942 1
P2 P 0.133 0.758 0.442 1
P3 P 0.305 0.716 0.679 1
P4 P 0.305 0.784 0.179 1
P5 P 0.695 0.216 0.821 1
P6 P 0.695 0.284 0.321 1
P7 P 0.867 0.242 0.558 1
P8 P 0.867 0.258 0.058 1
O1 O 0.007 0.566 0.898 1
O2 O 0.007 0.934 0.398 1
O3 O 0.040 0.170 0.734 1
O4 O 0.040 0.330 0.234 1
O5 O 0.103 0.628 0.499 1
O6 O 0.103 0.872 0.999 1
O7 O 0.163 0.521 0.404 1
O8 O 0.163 0.979 0.904 1
O9 O 0.183 0.516 0.630 1
O10 O 0.183 0.984 0.130 1
O11 O 0.193 0.060 0.347 1
O12 O 0.193 0.440 0.847 1
O13 O 0.254 0.535 0.980 1
O14 O 0.254 0.965 0.480 1
O15 O 0.273 0.692 0.235 1
O16 O 0.273 0.808 0.735 1
O17 O 0.310 0.524 0.135 1
O18 O 0.310 0.976 0.635 1
O19 O 0.350 0.091 0.071 1
O20 O 0.350 0.409 0.571 1
O21 O 0.407 0.162 0.857 1
O22 O 0.407 0.338 0.357 1
O23 O 0.434 0.659 0.926 1
O24 O 0.434 0.841 0.426 1
O25 O 0.437 0.550 0.704 1
O26 O 0.437 0.950 0.204 1
O27 O 0.563 0.050 0.796 1
O28 O 0.563 0.450 0.296 1
O29 O 0.566 0.159 0.574 1
O30 O 0.566 0.341 0.074 1
O31 O 0.593 0.662 0.643 1
O32 O 0.593 0.838 0.143 1
O33 O 0.650 0.591 0.429 1
O34 O 0.650 0.909 0.929 1
O35 O 0.690 0.024 0.365 1
O36 O 0.690 0.476 0.865 1
O37 O 0.727 0.192 0.265 1
O38 O 0.727 0.308 0.765 1
O39 O 0.746 0.035 0.520 1
O40 O 0.746 0.465 0.020 1
O41 O 0.807 0.560 0.153 1
O42 O 0.807 0.940 0.653 1
O43 O 0.817 0.016 0.870 1
O44 O 0.817 0.484 0.370 1
O45 O 0.837 0.021 0.096 1
O46 O 0.837 0.479 0.596 1
O47 O 0.897 0.128 0.001 1
O48 O 0.897 0.372 0.501 1
O49 O 0.960 0.670 0.766 1
O50 O 0.960 0.830 0.266 1
O51 O 0.993 0.066 0.602 1
O52 O 0.993 0.434 0.102 1
```

E_form (uncorrected): -1.4798 eV per atom
total magnetization: 0.0000 μB/atom

***

Crystalline LaBe2Sn at its relaxed geometry. Source: Alexandria via LeMat-Bulk, functional GGA-PBEsol.

Structure (CIF):
```
data_LaBe2Sn
_cell_length_a 8.930
_cell_length_b 8.930
_cell_length_c 8.930
_cell_angle_alpha 150.30
_cell_angle_beta 150.30
_cell_angle_gamma 42.50
_symmetry_space_group_name_H-M 'P 1'
_symmetry_Int_Tables_number 1
_symmetry_space_group_name_Hall 'P 1'
loop_
_atom_site_label
_atom_site_type_symbol
_atom_site_fract_x
_atom_site_fract_y
_atom_site_fract_z
_atom_site_occupancy
La1 La 0.375 0.625 0.750 1
La2 La 0.625 0.375 0.250 1
Be1 Be 0.000 0.000 0.000 1
Be2 Be 0.000 0.000 0.500 1
Be3 Be 0.000 0.500 0.000 1
Be4 Be 0.500 0.000 0.500 1
Sn1 Sn 0.125 0.875 0.250 1
Sn2 Sn 0.875 0.125 0.750 1
```

total magnetization: 0.0000 μB/atom
formation enthalpy at 0 K: 0.067 eV per atom